Compound: MnRuNO
Source: Alexandria via LeMat-Bulk
Functional: PBE with a Hubbard U
Structure: relaxed

extended XYZ file:
```
4
Lattice="2.6867 -1.4427 0.0000 2.6867 1.4427 0.0000 -0.7127 0.0000 5.8987" Properties=species:S:1:pos:R:3 pbc="T T T"
Mn 0.0000 0.0000 0.0000
Ru 3.6364 0.0000 2.9427
N 3.6454 0.0000 1.1434
O 0.9710 0.0000 4.6116
```

## Properties
**Density of states at the Fermi level**: 2.802 states/eV/f.u.
**Calculated volume**: 11.4 Å³ per atom
**M_tot**: 4.12 μB/f.u.
**Energy above the most stable polymorph in this dataset**: 0.263 eV/atom